[1]
Ho2Co3NiP4 after structural relaxation, computed with PBE-GGA.

As for the symmetry: No. 115. The calculation puts the total energy at -6.795 eV/atom.

POSCAR file:
```
Ho2Co3NiP4
1.0
3.917 0.000 0.000
0.000 3.917 0.000
0.000 0.000 9.073
Ho Co Ni P
2 3 1 4
direct
0.000 0.500 0.244
0.500 0.000 0.756
0.000 0.500 0.887
0.500 0.000 0.113
0.500 0.500 0.500
0.000 0.000 0.500
0.000 0.000 0.000
0.000 0.500 0.639
0.500 0.000 0.361
0.500 0.500 0.000
```

=====

[2]
TlZn2SnIr after structural relaxation, computed with PBE-GGA.

As for the symmetry: No. 123. The calculation puts the total energy at -3.554 eV/atom.

POSCAR file:
```
TlZn2SnIr
1.0
4.958 0.000 0.000
0.000 4.958 0.000
0.000 0.000 5.042
Tl Zn Sn Ir
1 2 1 1
direct
0.000 0.000 0.000
0.000 0.500 0.500
0.500 0.000 0.500
0.500 0.500 0.000
0.500 0.500 0.500
```

=====

[3]
NdAlAg3 after structural relaxation, computed with PBE-GGA.

As for the symmetry: No. 8. The calculation puts the total energy at -3.623 eV/atom.

POSCAR file:
```
NdAlAg3
1.0
6.054 0.000 0.000
0.000 6.062 0.000
-3.026 0.000 5.912
Nd Al Ag
2 2 6
direct
0.000 0.000 0.000
0.500 0.500 0.000
0.113 0.500 0.225
0.613 0.000 0.225
0.397 0.000 0.794
0.490 0.250 0.479
0.490 0.750 0.479
0.897 0.500 0.794
0.990 0.250 0.479
0.990 0.750 0.479
```

=====

[4]
DyCuO3 after structural relaxation, computed with PBE-GGA.

The raw formation energy is -9.07 eV per formula unit. As for the symmetry: No. 221. The calculation puts the total energy at -6.528 eV/atom.

POSCAR file:
```
DyCuO3
1.0
3.777 0.000 0.000
0.000 3.777 0.000
0.000 0.000 3.777
Dy Cu O
1 1 3
direct
0.000 0.000 0.000
0.500 0.500 0.500
0.000 0.500 0.500
0.500 0.000 0.500
0.500 0.500 0.000
```

=====

[5]
Ti2CdO6 after structural relaxation, computed with PBE-GGA.

The raw formation energy is -18.33 eV per formula unit. As for the symmetry: No. 1. The calculation puts the total energy at -7.198 eV/atom.

POSCAR file:
```
Ti2CdO6
1.0
5.856 0.000 0.000
0.891 6.450 0.000
0.040 0.346 6.653
Ti Cd O
4 2 12
direct
0.000 0.000 0.000
0.090 0.175 0.478
0.568 0.665 0.016
0.770 0.712 0.502
0.119 0.451 0.855
0.607 0.220 0.234
0.005 0.150 0.761
0.036 0.202 0.181
0.045 0.451 0.498
0.245 0.788 0.888
0.250 0.787 0.117
0.423 0.100 0.501
0.457 0.875 0.496
0.465 0.415 0.976
0.678 0.572 0.273
0.712 0.936 0.045
0.772 0.640 0.785
0.906 0.937 0.454
```

=====

[6]
NiIr2Ru after structural relaxation, computed with PBE-GGA.

For the energy above the most stable polymorph in this dataset, the calculation gives 0.0127 eV/atom. As for the symmetry: No. 63. The calculation puts the total energy at -8.193 eV/atom.

POSCAR file:
```
NiIr2Ru
1.0
7.497 0.000 0.000
0.000 7.652 0.000
0.000 0.000 3.789
Ni Ir Ru
4 8 4
direct
0.000 0.125 0.250
0.000 0.875 0.750
0.500 0.375 0.750
0.500 0.625 0.250
0.246 0.126 0.750
0.246 0.874 0.250
0.254 0.374 0.250
0.254 0.626 0.750
0.746 0.374 0.250
0.746 0.626 0.750
0.754 0.126 0.750
0.754 0.874 0.250
0.000 0.380 0.750
0.000 0.620 0.250
0.500 0.120 0.250
0.500 0.880 0.750
```

=====

[7]
Sc3Tc after structural relaxation, computed with PBE-GGA.

As for the symmetry: No. 139. The calculation puts the total energy at -7.312 eV/atom.

POSCAR file:
```
Sc3Tc
1.0
4.197 0.000 0.000
0.000 4.197 0.000
0.000 0.000 18.316
Sc Tc
12 4
direct
0.000 0.000 0.126
0.000 0.000 0.874
0.000 0.500 0.000
0.000 0.500 0.250
0.000 0.500 0.500
0.000 0.500 0.750
0.500 0.000 0.000
0.500 0.000 0.250
0.500 0.000 0.500
0.500 0.000 0.750
0.500 0.500 0.374
0.500 0.500 0.626
0.000 0.000 0.362
0.000 0.000 0.638
0.500 0.500 0.138
0.500 0.500 0.862
```

=====

[8]
Sc3Mn3S8 after structural relaxation, computed with PBE-GGA.

The raw formation energy is -17.88 eV per formula unit. As for the symmetry: No. 166. The calculation puts the total energy at -6.957 eV/atom.

POSCAR file:
```
Sc3Mn3S8
1.0
3.725 2.150 6.046
-3.725 2.150 6.046
0.000 -4.301 6.046
Sc Mn S
3 3 8
direct
0.000 0.500 0.500
0.500 0.000 0.500
0.500 0.500 0.000
0.124 0.124 0.124
0.500 0.500 0.500
0.876 0.876 0.876
0.256 0.256 0.256
0.261 0.261 0.730
0.261 0.730 0.261
0.270 0.739 0.739
0.730 0.261 0.261
0.739 0.270 0.739
0.739 0.739 0.270
0.744 0.744 0.744
```

=====

[9]
Pm6Pr2DyEr3 after structural relaxation, computed with PBE-GGA.

As for the symmetry: No. 12. The calculation puts the total energy at -4.679 eV/atom.

POSCAR file:
```
Pm6Pr2DyEr3
1.0
3.136 -5.431 0.000
3.136 5.431 0.000
-2.088 0.000 11.764
Pm Pr Dy Er
6 2 1 3
direct
0.085 0.417 0.754
0.247 0.247 0.245
0.417 0.085 0.754
0.583 0.915 0.246
0.753 0.753 0.755
0.915 0.583 0.246
0.333 0.667 0.500
0.667 0.333 0.500
0.000 0.000 0.500
0.166 0.834 0.000
0.500 0.500 0.000
0.834 0.166 0.000
```

=====

[10]
Ni4HgBi after structural relaxation, computed with PBE-GGA.

As for the symmetry: No. 216. The calculation puts the total energy at -4.355 eV/atom.

POSCAR file:
```
Ni4HgBi
1.0
0.000 3.558 3.558
3.558 0.000 3.558
3.558 3.558 0.000
Ni Hg Bi
4 1 1
direct
0.125 0.125 0.125
0.125 0.125 0.624
0.125 0.624 0.125
0.624 0.125 0.125
0.500 0.500 0.500
0.750 0.750 0.750
```

=====

[11]
SiIr2Pb after structural relaxation, computed with PBE-GGA.

For the energy above the most stable polymorph in this dataset, the calculation gives 0.5428 eV/atom. The raw formation energy is 1.69 eV per formula unit. As for the symmetry: No. 123. The calculation puts the total energy at -6.290 eV/atom.

POSCAR file:
```
SiIr2Pb
1.0
4.701 0.000 0.000
0.000 4.701 0.000
0.000 0.000 3.032
Si Ir Pb
1 2 1
direct
0.000 0.000 0.000
0.000 0.500 0.500
0.500 0.000 0.500
0.500 0.500 0.000
```

=====

[12]
RbTcTeOs2 after structural relaxation, computed with PBE-GGA.

The raw formation energy is 19.62 eV per formula unit. As for the symmetry: No. 123. The calculation puts the total energy at -3.462 eV/atom.

POSCAR file:
```
RbTcTeOs2
1.0
4.665 0.000 0.000
0.000 4.665 0.000
0.000 0.000 5.525
Rb Tc Te Os
1 1 1 2
direct
0.000 0.000 0.000
0.500 0.500 0.500
0.000 0.000 0.500
0.000 0.500 0.000
0.500 0.000 0.000
```

=====

[13]
Li5Ag2Pb after structural relaxation, computed with PBE-GGA.

As for the symmetry: No. 139. The calculation puts the total energy at -2.620 eV/atom.

POSCAR file:
```
Li5Ag2Pb
1.0
4.347 0.000 0.000
0.000 4.347 0.000
0.000 0.000 14.873
Li Ag Pb
10 4 2
direct
0.000 0.000 0.000
0.000 0.500 0.135
0.000 0.500 0.365
0.000 0.500 0.635
0.000 0.500 0.865
0.500 0.000 0.135
0.500 0.000 0.365
0.500 0.000 0.635
0.500 0.000 0.865
0.500 0.500 0.500
0.000 0.000 0.251
0.000 0.000 0.749
0.500 0.500 0.249
0.500 0.500 0.751
0.000 0.000 0.500
0.500 0.500 0.000
```

=====

[14]
Sm2YTe2 after structural relaxation, computed with PBE-GGA.

The raw formation energy is -4.97 eV per formula unit. As for the symmetry: No. 12. The calculation puts the total energy at -5.431 eV/atom.

POSCAR file:
```
Sm2YTe2
1.0
6.764 -3.058 0.000
6.764 3.058 0.000
-3.044 0.000 7.873
Sm Y Te
4 2 4
direct
0.031 0.031 0.294
0.320 0.320 0.860
0.680 0.680 0.140
0.969 0.969 0.706
0.319 0.319 0.431
0.681 0.681 0.569
0.162 0.162 0.058
0.481 0.481 0.246
0.519 0.519 0.754
0.838 0.838 0.942
```

=====

[15]
CsCaAlRh2 after structural relaxation, computed with PBE-GGA.

As for the symmetry: No. 123. The calculation puts the total energy at -3.229 eV/atom.

POSCAR file:
```
CsCaAlRh2
1.0
5.140 0.000 0.000
0.000 5.140 0.000
0.000 0.000 5.699
Cs Ca Al Rh
1 1 1 2
direct
0.000 0.000 0.000
0.500 0.500 0.500
0.500 0.500 0.000
0.000 0.500 0.500
0.500 0.000 0.500
```

=====

[16]
ZrTe2As2 after structural relaxation, computed with PBE-GGA.

For the energy above the most stable polymorph in this dataset, the calculation gives 0.1135 eV/atom. The raw formation energy is 0.11 eV per formula unit. As for the symmetry: No. 139. The calculation puts the total energy at -4.804 eV/atom.

POSCAR file:
```
ZrTe2As2
1.0
3.958 0.000 0.000
0.000 3.958 0.000
0.000 0.000 19.864
Zr Te As
2 4 4
direct
0.000 0.000 0.000
0.500 0.500 0.500
0.000 0.500 0.250
0.000 0.500 0.750
0.500 0.000 0.250
0.500 0.000 0.750
0.000 0.000 0.438
0.000 0.000 0.562
0.500 0.500 0.062
0.500 0.500 0.938
```

=====

[17]
ZrGe2TePt after structural relaxation, computed with PBE-GGA.

The raw formation energy is 3.03 eV per formula unit. As for the symmetry: No. 123. The calculation puts the total energy at -4.787 eV/atom.

POSCAR file:
```
ZrGe2TePt
1.0
5.253 0.000 0.000
0.000 5.253 0.000
0.000 0.000 5.007
Zr Ge Te Pt
1 2 1 1
direct
0.000 0.000 0.000
0.000 0.500 0.000
0.500 0.000 0.000
0.500 0.500 0.500
0.000 0.000 0.500
```

=====

[18]
Ce6PuIn2N after structural relaxation, computed with PBE-GGA.

The raw formation energy is -6.78 eV per formula unit. As for the symmetry: No. 225. The calculation puts the total energy at -7.051 eV/atom.

POSCAR file:
```
Ce6PuIn2N
1.0
0.000 4.966 4.966
4.966 0.000 4.966
4.966 4.966 0.000
Ce Pu In N
6 1 2 1
direct
0.248 0.248 0.752
0.248 0.752 0.248
0.248 0.752 0.752
0.752 0.248 0.248
0.752 0.248 0.752
0.752 0.752 0.248
0.000 0.000 0.000
0.250 0.250 0.250
0.750 0.750 0.750
0.500 0.500 0.500
```

=====

[19]
ScBiI2N after structural relaxation, computed with PBE-GGA.

For the energy above the most stable polymorph in this dataset, the calculation gives 0.7171 eV/atom. The raw formation energy is 3.37 eV per formula unit. As for the symmetry: No. 123. The calculation puts the total energy at -3.654 eV/atom.

POSCAR file:
```
ScBiI2N
1.0
6.376 0.000 0.000
0.000 6.376 0.000
0.000 0.000 4.185
Sc Bi I N
1 1 2 1
direct
0.000 0.000 0.000
0.500 0.500 0.500
0.000 0.500 0.500
0.500 0.000 0.500
0.500 0.500 0.000
```

=====

[20]
PmMnGe3 after structural relaxation, computed with PBE-GGA.

For the energy above the most stable polymorph in this dataset, the calculation gives 0.0000 eV/atom. As for the symmetry: No. 107. The calculation puts the total energy at -5.963 eV/atom.

POSCAR file:
```
PmMnGe3
1.0
4.346 0.000 0.000
0.000 4.346 0.000
0.000 0.000 10.037
Pm Mn Ge
2 2 6
direct
0.000 0.000 0.000
0.500 0.500 0.500
0.000 0.000 0.669
0.500 0.500 0.169
0.000 0.000 0.444
0.000 0.500 0.257
0.000 0.500 0.757
0.500 0.000 0.257
0.500 0.000 0.757
0.500 0.500 0.944
```